(1)
# GGA-PBE Pr4HoP5, relaxed
data_Pr4HoP5
_space_group_name_H-M_alt 'I 4/m'
_space_group_IT_number 87
_space_group_name_Hall '-I 4'
_cell_length_a 9.307
_cell_length_b 9.307
_cell_length_c 5.893
_cell_angle_alpha 90.00
_cell_angle_beta 90.00
_cell_angle_gamma 90.00
loop_
_atom_site_label
_atom_site_type_symbol
_atom_site_fract_x
_atom_site_fract_y
_atom_site_fract_z
Pr1 Pr 0.099 0.299 0.000
Ho1 Ho 0.000 0.000 0.500
P1 P 0.000 0.000 0.000
P2 P 0.098 0.293 0.500
# E_tot = -6.597 eV per atom
# Total magnetic moment = 0.0 μB per cell
# ΔH_f (0 K) = -1.522 eV/atom

(2)
# GGA-PBE Rb2LaInS4, relaxed
data_Rb2LaInS4
_space_group_name_H-M_alt 'I m m a'
_space_group_IT_number 74
_space_group_name_Hall '-I 2b 2'
_cell_length_a 8.373
_cell_length_b 8.812
_cell_length_c 12.321
_cell_angle_alpha 90.00
_cell_angle_beta 90.00
_cell_angle_gamma 90.00
loop_
_atom_site_label
_atom_site_type_symbol
_atom_site_fract_x
_atom_site_fract_y
_atom_site_fract_z
Rb1 Rb 0.000 0.000 0.000
Rb2 Rb 0.250 0.250 0.250
La1 La 0.000 0.000 0.500
In1 In 0.250 0.250 0.750
S1 S 0.000 0.048 0.740
S2 S 0.222 0.250 0.519
# Energy relative to the elements, uncorrected = -1.2842 eV/atom
# E_tot = -4.548 eV per atom
# Total magnetic moment = 0.0 μB per cell

(3)
# GGA-PBE CsPb4S5, relaxed
data_CsPb4S5
_space_group_name_H-M_alt 'P m m n'
_space_group_IT_number 59
_cell_length_a 7.927
_cell_length_b 10.732
_cell_length_c 8.148
_cell_angle_alpha 90.00
_cell_angle_beta 90.00
_cell_angle_gamma 90.00
loop_
_space_group_symop_operation_xyz
'x,y,z'
'-x,-y,-z'
'-x+1/2,-y+1/2,z'
'x+1/2,y+1/2,-z'
'x+1/2,-y,-z'
'-x+1/2,y,z'
'-x,y+1/2,-z'
'x,-y+1/2,z'
loop_
_atom_site_label
_atom_site_type_symbol
_atom_site_fract_x
_atom_site_fract_y
_atom_site_fract_z
Cs1 Cs 0.250 0.250 0.124
Pb1 Pb 0.031 0.250 0.608
Pb2 Pb 0.250 0.585 0.890
S1 S 0.013 0.566 0.185
S2 S 0.250 0.750 0.574
# Energy relative to the elements, uncorrected = -0.4172 eV/atom
# E_tot = -4.050 eV per atom
# Total magnetic moment = 0.0 μB per cell